## Tm4CoIr (PBE-GGA)

Data for crystalline Tm4CoIr at its relaxed geometry.

Cell lengths 6.066, 7.733, 7.733 Å; angles 111.42, 108.29, 108.29 degrees
Fractional positions:
Tm  0.726  0.238  0.358
Tm  0.401  0.692  0.050
Tm  0.274  0.762  0.642
Tm  0.599  0.308  0.950
Tm  0.774  0.642  0.762
Tm  0.099  0.950  0.308
Tm  0.901  0.050  0.692
Tm  0.226  0.358  0.238
Co  0.250  0.001  0.999
Co  0.750  0.999  0.001
Ir  0.250  0.363  0.637
Ir  0.750  0.637  0.363

Output
relative energy among the computed polymorphs = 0 meV/atom
raw total energy = -6.131 eV per atom
crystal system = monoclinic
density of states at the Fermi level = 12.3 states/eV per cell
formation enthalpy at 0 K = -0.489 eV/atom
space group = No. 15